[1]
The following is a DFT calculation (GGA-PBE) of a geometry-optimized YZnCd2P structure.

Output
Spin magnetization (μB/atom): 0.000
Space-group type: P4/mmm (123)
Energy of formation from the pure elements (eV per formula unit): 0.77

```
YZnCd2P
1.0
5.031 0.000 0.000
0.000 5.031 0.000
0.000 0.000 4.692
Y Zn Cd P
1 1 2 1
direct
0.000 0.000 0.000
0.500 0.500 0.500
0.000 0.500 0.500
0.500 0.000 0.500
0.500 0.500 0.000
```

***

[2]
The following is a DFT calculation (GGA-PBE) of a geometry-optimized Zn2CdP structure.

Output
Spin magnetization (μB/atom): 0.000
Space-group type: R3m (160)
Excess energy over the best structure of this formula in the dataset (eV/atom): 0.188
Energy of formation from the pure elements (eV per formula unit): 1.01

```
Zn2CdP
1.0
1.498 0.865 9.082
-1.498 0.865 9.082
0.000 -1.730 9.082
Zn Cd P
2 1 1
direct
0.000 0.000 0.000
0.259 0.259 0.259
0.756 0.756 0.756
0.521 0.521 0.521
```

***

[3]
The following is a DFT calculation (GGA-PBE) of a geometry-optimized Zn2CdP structure.

Output
Spin magnetization (μB/atom): 0.000
Space-group type: I-4m2 (119)
Excess energy over the best structure of this formula in the dataset (eV/atom): 0.182
Energy of formation from the pure elements (eV per formula unit): 0.99

```
Zn2CdP
1.0
-1.977 1.977 4.487
1.977 -1.977 4.487
1.977 1.977 -4.487
Zn Cd P
2 1 1
direct
0.000 0.000 0.000
0.750 0.250 0.500
0.250 0.750 0.500
0.500 0.500 0.000
```

***

[4]
The following is a DFT calculation (GGA-PBE) of a geometry-optimized ZnCd3P structure.

Output
Spin magnetization (μB/atom): 0.000
Space-group type: Pm-3m (221)
Excess energy over the best structure of this formula in the dataset (eV/atom): 0.249
Energy of formation from the pure elements (eV per formula unit): 3.15

```
ZnCd3P
1.0
5.016 0.000 0.000
0.000 5.016 0.000
0.000 0.000 5.016
Zn Cd P
1 3 1
direct
0.000 0.000 0.000
0.000 0.000 0.500
0.000 0.500 0.000
0.500 0.000 0.000
0.500 0.500 0.500
```

***

[5]
The following is a DFT calculation (GGA-PBE) of a geometry-optimized Zn2CdP structure.

Output
Spin magnetization (μB/atom): 0.000
Space-group type: R-3m (166)
Excess energy over the best structure of this formula in the dataset (eV/atom): 0.000
Energy of formation from the pure elements (eV per formula unit): 0.26

```
Zn2CdP
1.0
1.901 1.098 6.213
-1.901 1.098 6.213
0.000 -2.195 6.213
Zn Cd P
2 1 1
direct
0.228 0.228 0.228
0.772 0.772 0.772
0.000 0.000 0.000
0.500 0.500 0.500
```

***

[6]
The following is a DFT calculation (GGA-PBE) of a geometry-optimized Zn2CdP structure.

Output
Spin magnetization (μB/atom): 0.000
Space-group type: Imm2 (44)
Excess energy over the best structure of this formula in the dataset (eV/atom): 0.057
Energy of formation from the pure elements (eV per formula unit): 0.49

```
Zn2CdP
1.0
-1.712 1.794 6.048
1.712 -1.794 6.048
1.712 1.794 -6.048
Zn Cd P
2 1 1
direct
0.000 0.000 0.000
0.682 0.182 0.500
0.376 0.376 0.000
0.160 0.660 0.500
```

***

[7]
The following is a DFT calculation (GGA-PBE) of a geometry-optimized Zn2CdP structure.

Output
Spin magnetization (μB/atom): 0.000
Space-group type: Cmmm (65)
Excess energy over the best structure of this formula in the dataset (eV/atom): 0.189
Energy of formation from the pure elements (eV per formula unit): 1.01

```
Zn2CdP
1.0
1.939 -2.500 0.000
1.939 2.500 0.000
0.000 0.000 7.533
Zn Cd P
2 1 1
direct
0.000 0.000 0.212
0.000 0.000 0.788
0.500 0.500 0.500
0.500 0.500 0.000
```

***

[8]
The following is a DFT calculation (GGA-PBE) of a geometry-optimized ZnCdP3 structure.

Output
Spin magnetization (μB/atom): 0.000
Space-group type: Pm-3m (221)
Excess energy over the best structure of this formula in the dataset (eV/atom): 0.000
Energy of formation from the pure elements (eV per formula unit): 4.47

```
ZnCdP3
1.0
4.678 0.000 0.000
0.000 4.678 0.000
0.000 0.000 4.678
Zn Cd P
1 1 3
direct
0.000 0.000 0.000
0.500 0.500 0.500
0.000 0.000 0.500
0.000 0.500 0.000
0.500 0.000 0.000
```